(one)
VASP calculation (PBE) on V4BC2 after structural relaxation.

Cell lengths 4.071, 4.071, 5.578 Å; angles 68.60, 68.60, 90.00 degrees
Atoms (fractional coordinates):
V (0.500, 0.000, 0.000)
V (0.232, 0.232, 0.536)
V (0.000, 0.500, 0.000)
V (0.768, 0.768, 0.464)
B (0.000, 0.000, 0.000)
C (0.573, 0.573, 0.854)
C (0.427, 0.427, 0.146)

Computed properties:
Total magnetization (Bohr magnetons per cell): 0.00

---

(two)
VASP calculation (PBE) on V4BC2 after structural relaxation.

Cell lengths 2.970, 4.998, 9.846 Å; angles 90.00, 90.00, 107.28 degrees
Atoms (fractional coordinates):
V (0.054, 0.108, 0.250)
V (0.500, 0.000, 0.000)
V (0.500, 0.000, 0.500)
V (0.230, 0.460, 0.883)
V (0.946, 0.892, 0.750)
V (0.230, 0.460, 0.617)
V (0.770, 0.540, 0.117)
V (0.770, 0.540, 0.383)
B (0.394, 0.788, 0.250)
B (0.606, 0.212, 0.750)
C (0.863, 0.726, 0.936)
C (0.137, 0.274, 0.436)
C (0.137, 0.274, 0.064)
C (0.863, 0.726, 0.564)

Computed properties:
Total magnetization (Bohr magnetons per cell): 0.00

---

Tell me which of them is the least stable. Sure, it is (one).

---

(one)
VASP calculation (PBE) on B3WC after structural relaxation.

Cell lengths 3.477, 3.477, 3.477 Å; angles 90.00, 90.00, 90.00 degrees
Atoms (fractional coordinates):
C (0.000, 0.000, 0.000)
B (0.000, 0.500, 0.000)
B (0.500, 0.000, 0.000)
B (0.000, 0.000, 0.500)
W (0.500, 0.500, 0.500)

Computed properties:
Total magnetization (Bohr magnetons per cell): 0.00

---

(two)
VASP calculation (PBE) on B3WC after structural relaxation.

Cell lengths 4.171, 4.171, 4.171 Å; angles 90.00, 90.00, 90.00 degrees
Atoms (fractional coordinates):
B (0.000, 0.000, 0.500)
B (0.000, 0.500, 0.000)
B (0.500, 0.000, 0.000)
C (0.500, 0.500, 0.500)
W (0.000, 0.000, 0.000)

Computed properties:
Total magnetization (Bohr magnetons per cell): 0.00

---

Tell me which of them is the least stable. Sure, it is (two).

---

(one)
VASP calculation (PBE) on YBC3 after structural relaxation.

Cell lengths 3.629, 3.629, 3.629 Å; angles 90.00, 90.00, 90.00 degrees
Atoms (fractional coordinates):
C (0.000, 0.000, 0.500)
C (0.500, 0.000, 0.000)
C (0.000, 0.500, 0.000)
B (0.000, 0.000, 0.000)
Y (0.500, 0.500, 0.500)

Computed properties:
Total magnetization (Bohr magnetons per cell): 0.00

---

(two)
VASP calculation (PBE) on YBC3 after structural relaxation.

Cell lengths 4.544, 4.544, 4.544 Å; angles 90.00, 90.00, 90.00 degrees
Atoms (fractional coordinates):
B (0.500, 0.500, 0.500)
C (0.000, 0.000, 0.500)
C (0.000, 0.500, 0.000)
C (0.500, 0.000, 0.000)
Y (0.000, 0.000, 0.000)

Computed properties:
Total magnetization (Bohr magnetons per cell): 0.00

---

Tell me which of them is the least stable. Sure, it is (two).

---

(one)
VASP calculation (PBE) on Y2BC after structural relaxation.

Cell lengths 4.486, 4.486, 4.486 Å; angles 60.00, 60.00, 60.00 degrees
Atoms (fractional coordinates):
B (0.000, 0.000, 0.000)
C (0.500, 0.500, 0.500)
Y (0.250, 0.250, 0.250)
Y (0.750, 0.750, 0.750)

Computed properties:
Total magnetization (Bohr magnetons per cell): 0.00

---

(two)
VASP calculation (PBE) on Y2BC after structural relaxation.

Cell lengths 6.534, 6.534, 5.838 Å; angles 55.98, 55.98, 90.00 degrees
Atoms (fractional coordinates):
Y (0.375, 0.345, 0.750)
Y (0.095, 0.625, 0.250)
Y (0.875, 0.905, 0.750)
Y (0.655, 0.125, 0.250)
B (0.500, 0.500, 0.000)
B (0.250, 0.750, 0.500)
C (0.000, 0.000, 0.000)
C (0.750, 0.250, 0.500)

Computed properties:
Total magnetization (Bohr magnetons per cell): 0.00

---

Tell me which of them is the least stable. Sure, it is (one).